AcTb5Tm3: relaxed, PBE.

Cell: 9.0517 9.0517 8.9839 Å, 114.49 114.49 66.26°
Fractional positions:
Ac  0.0985  0.9015  0.7500
Ac  0.9015  0.0985  0.2500
Tb  0.0653  0.2671  0.0737
Tb  0.2530  0.3984  0.9028
Tb  0.2671  0.0653  0.5737
Tb  0.3984  0.2530  0.4028
Tb  0.4365  0.5635  0.7500
Tb  0.5635  0.4365  0.2500
Tb  0.6016  0.7470  0.5972
Tb  0.7329  0.9347  0.4263
Tb  0.7470  0.6016  0.0972
Tb  0.9347  0.7329  0.9263
Tm  0.0000  0.5000  0.5000
Tm  0.1717  0.6579  0.3312
Tm  0.3421  0.8283  0.1688
Tm  0.5000  0.0000  0.0000
Tm  0.6579  0.1717  0.8312
Tm  0.8283  0.3421  0.6688

Properties
DFT formation energy   91.6 meV per atom
Space-group type   C2/c

Ac2Tb6Tm: relaxed, PBE.

Cell: 8.7917 3.6376 10.1127 Å, 90.00 101.94 90.00°
Fractional positions:
Ac  0.1936  0.0000  0.4605
Ac  0.8064  0.0000  0.5395
Tb  0.1246  0.5000  0.7857
Tb  0.1841  0.0000  0.0981
Tb  0.4817  0.5000  0.3229
Tb  0.5183  0.5000  0.6771
Tb  0.8159  0.0000  0.9019
Tb  0.8754  0.5000  0.2143
Tm  0.5000  0.5000  0.0000

Properties
DFT formation energy   134.4 meV per atom
Space-group type   P2/m

AcTbTm3: relaxed, PBE.

Cell: 12.0198 10.4347 5.4937 Å, 90.00 90.00 90.00°
Fractional positions:
Ac  0.0541  0.2500  0.0003
Ac  0.4459  0.7500  0.5003
Ac  0.5541  0.2500  0.4997
Ac  0.9459  0.7500  0.9997
Tb  0.0000  0.0000  0.5000
Tb  0.0000  0.5000  0.5000
Tb  0.5000  0.0000  0.0000
Tb  0.5000  0.5000  0.0000
Tm  0.1645  0.7500  0.4993
Tm  0.1978  0.5647  0.9994
Tm  0.1978  0.9353  0.9994
Tm  0.3022  0.0647  0.4994
Tm  0.3022  0.4353  0.4994
Tm  0.3355  0.2500  0.9993
Tm  0.6645  0.7500  0.0007
Tm  0.6978  0.5647  0.5006
Tm  0.6978  0.9353  0.5006
Tm  0.8022  0.0647  0.0006
Tm  0.8022  0.4353  0.0006
Tm  0.8355  0.2500  0.5007

Properties
DFT formation energy   194.0 meV per atom
Space-group type   Pnma

Ac2Tb4Tm5: relaxed, PBE.

Cell: 6.0722 6.6666 10.0623 Å, 87.48 88.14 64.69°
Fractional positions:
Ac  0.0860  0.3796  0.3156
Ac  0.9140  0.6204  0.6844
Tb  0.2540  0.8293  0.2156
Tb  0.2822  0.0395  0.6155
Tb  0.7178  0.9605  0.3845
Tb  0.7460  0.1707  0.7844
Tm  0.2164  0.2227  0.9586
Tm  0.3405  0.6871  0.8805
Tm  0.5000  0.5000  0.5000
Tm  0.6595  0.3129  0.1195
Tm  0.7836  0.7773  0.0414

Properties
DFT formation energy   79.3 meV per atom
Space-group type   P-1

AcTbTm2: relaxed, PBE.

Cell: 3.6021 5.4924 14.0646 Å, 90.00 97.31 90.00°
Fractional positions:
Ac  0.0413  0.2500  0.0834
Ac  0.9587  0.7500  0.9166
Tb  0.2295  0.7500  0.4584
Tb  0.7705  0.2500  0.5416
Tm  0.1623  0.2500  0.3239
Tm  0.3879  0.2500  0.7757
Tm  0.6121  0.7500  0.2243
Tm  0.8377  0.7500  0.6761

Properties
DFT formation energy   101.5 meV per atom
Space-group type   P2_1/m
Relative energy among the computed polymorphs   0.0327 eV per atom

AcTb5Tm2: relaxed, PBE.

Cell: 7.1948 14.3893 10.1584 Å, 90.00 90.00 90.00°
Fractional positions:
Ac  0.2488  0.1236  0.0000
Ac  0.2512  0.6236  0.0000
Ac  0.7488  0.3764  0.0000
Ac  0.7512  0.8764  0.0000
Tb  0.0000  0.5000  0.2601
Tb  0.0000  0.5000  0.7399
Tb  0.0016  0.7503  0.2585
Tb  0.0016  0.7503  0.7415
Tb  0.2484  0.3743  0.0000
Tb  0.2491  0.3750  0.5000
Tb  0.2509  0.8750  0.5000
Tb  0.2516  0.8743  0.0000
Tb  0.4984  0.2503  0.2585
Tb  0.4984  0.2503  0.7415
Tb  0.5000  0.0000  0.2601
Tb  0.5000  0.0000  0.7399
Tb  0.5016  0.7497  0.2585
Tb  0.5016  0.7497  0.7415
Tb  0.7484  0.1257  0.0000
Tb  0.7491  0.1250  0.5000
Tb  0.7509  0.6250  0.5000
Tb  0.7516  0.6257  0.0000
Tb  0.9984  0.2497  0.2585
Tb  0.9984  0.2497  0.7415
Tm  0.0000  0.0000  0.2609
Tm  0.0000  0.0000  0.7391
Tm  0.2487  0.1250  0.5000
Tm  0.2513  0.6250  0.5000
Tm  0.5000  0.5000  0.2609
Tm  0.5000  0.5000  0.7391
Tm  0.7487  0.3750  0.5000
Tm  0.7513  0.8750  0.5000

Properties
DFT formation energy   41.7 meV per atom
Space-group type   Pbam

AcTb12Tm2: relaxed, PBE.

Cell: 3.5939 5.6124 24.4770 Å, 90.00 94.17 90.00°
Fractional positions:
Ac  0.0000  0.0000  0.0000
Tb  0.0710  0.0000  0.1436
Tb  0.1007  0.5000  0.2046
Tb  0.1665  0.5000  0.3309
Tb  0.2156  0.0000  0.4253
Tb  0.2752  0.5000  0.5551
Tb  0.4621  0.5000  0.9218
Tb  0.5379  0.5000  0.0782
Tb  0.7248  0.5000  0.4449
Tb  0.7844  0.0000  0.5747
Tb  0.8335  0.5000  0.6691
Tb  0.8993  0.5000  0.7954
Tb  0.9290  0.0000  0.8564
Tm  0.3632  0.0000  0.7256
Tm  0.6368  0.0000  0.2744

Properties
DFT formation energy   114.7 meV per atom
Space-group type   P2/m

AcTb2Tm: relaxed, PBE.

Cell: 3.6730 3.6730 10.2150 Å, 90.00 90.00 90.00°
Fractional positions:
Ac  0.0000  0.0000  0.0000
Tb  0.5000  0.5000  0.2660
Tb  0.5000  0.5000  0.7340
Tm  0.0000  0.0000  0.5000

Properties
DFT formation energy   62.6 meV per atom
Space-group type   P4/mmm
Relative energy among the computed polymorphs   0.0029 eV per atom

AcTb12Tm3: relaxed, PBE.

Cell: 5.0488 5.0488 20.2197 Å, 90.00 90.00 90.00°
Fractional positions:
Ac  0.0000  0.0000  0.0000
Tb  0.0000  0.5000  0.1316
Tb  0.0000  0.5000  0.3771
Tb  0.0000  0.5000  0.6229
Tb  0.0000  0.5000  0.8684
Tb  0.5000  0.0000  0.1316
Tb  0.5000  0.0000  0.3771
Tb  0.5000  0.0000  0.6229
Tb  0.5000  0.0000  0.8684
Tb  0.5000  0.5000  0.0000
Tb  0.5000  0.5000  0.2552
Tb  0.5000  0.5000  0.5000
Tb  0.5000  0.5000  0.7448
Tm  0.0000  0.0000  0.2536
Tm  0.0000  0.0000  0.5000
Tm  0.0000  0.0000  0.7464

Properties
DFT formation energy   31.1 meV per atom
Space-group type   P4/mmm

AcTbTm: relaxed, PBE.

Cell: 5.8419 5.8419 3.5667 Å, 90.00 90.00 120.00°
Fractional positions:
Ac  0.0000  0.0000  0.0000
Tb  0.6667  0.3333  0.4995
Tm  0.3333  0.6667  0.9982

Properties
DFT formation energy   150.0 meV per atom
Space-group type   P3m1
Relative energy among the computed polymorphs   0.0828 eV per atom

AcTb2Tm2: relaxed, PBE.

Cell: 8.6685 8.6685 11.3585 Å, 90.00 90.00 155.93°
Fractional positions:
Ac  0.0970  0.9030  0.5000
Ac  0.9030  0.0970  0.0000
Tb  0.2084  0.7916  0.0539
Tb  0.4093  0.5907  0.3673
Tb  0.5907  0.4093  0.8673
Tb  0.7916  0.2084  0.5539
Tm  0.2611  0.7389  0.7915
Tm  0.4402  0.5598  0.6782
Tm  0.5598  0.4402  0.1782
Tm  0.7389  0.2611  0.2915

Properties
DFT formation energy   157.7 meV per atom
Space-group type   Cmc2_1

AcTbTm2: relaxed, PBE.

Cell: 11.8904 11.8904 11.8904 Å, 17.72 17.72 17.72°
Fractional positions:
Ac  0.0000  0.0000  0.0000
Tb  0.1659  0.1659  0.1659
Tm  0.5788  0.5788  0.5788
Tm  0.7535  0.7535  0.7535

Properties
DFT formation energy   80.0 meV per atom
Space-group type   R3m
Relative energy among the computed polymorphs   0.0112 eV per atom

AcTb4Tm10: relaxed, PBE.

Cell: 9.6105 9.6105 9.6105 Å, 96.55 96.55 140.53°
Fractional positions:
Ac  0.0000  0.0000  0.0000
Tb  0.3239  0.5677  0.8917
Tb  0.4323  0.3239  0.7562
Tb  0.5677  0.6761  0.2438
Tb  0.6761  0.4323  0.1083
Tm  0.0414  0.8795  0.4216
Tm  0.1205  0.5421  0.1619
Tm  0.2500  0.7500  0.5000
Tm  0.3802  0.9586  0.8381
Tm  0.4579  0.6198  0.5784
Tm  0.5421  0.3802  0.4216
Tm  0.6198  0.0414  0.1619
Tm  0.7500  0.2500  0.5000
Tm  0.8795  0.4579  0.8381
Tm  0.9586  0.1205  0.5784

Properties
DFT formation energy   543.0 meV per atom
Space-group type   I4/m

AcTb6Tm: relaxed, PBE.

Cell: 5.1006 5.1006 10.1818 Å, 90.00 90.00 90.00°
Fractional positions:
Ac  0.0000  0.0000  0.0000
Tb  0.0000  0.5000  0.2592
Tb  0.0000  0.5000  0.7408
Tb  0.5000  0.0000  0.2592
Tb  0.5000  0.0000  0.7408
Tb  0.5000  0.5000  0.0000
Tb  0.5000  0.5000  0.5000
Tm  0.0000  0.0000  0.5000

Properties
DFT formation energy   43.5 meV per atom
Space-group type   P4/mmm

AcTb2Tm4: relaxed, PBE.

Cell: 6.2745 8.9321 8.9885 Å, 103.83 101.51 102.13°
Fractional positions:
Ac  0.0000  0.0000  0.0000
Ac  0.3680  0.9007  0.7185
Tb  0.0621  0.6009  0.8623
Tb  0.4021  0.4244  0.2607
Tb  0.5953  0.0758  0.2416
Tb  0.9669  0.4758  0.4615
Tm  0.1745  0.1435  0.4487
Tm  0.1932  0.7554  0.2759
Tm  0.3099  0.2982  0.8599
Tm  0.5234  0.5279  0.6551
Tm  0.6187  0.6815  0.0665
Tm  0.7536  0.2173  0.6578
Tm  0.7728  0.8222  0.4814
Tm  0.8448  0.3713  0.0686

Properties
DFT formation energy   76.8 meV per atom
Space-group type   P1
Relative energy among the computed polymorphs   0.0230 eV per atom

AcTb4Tm4: relaxed, PBE.

Cell: 6.2348 8.9004 10.8080 Å, 78.33 89.93 83.23°
Fractional positions:
Ac  0.2483  0.0001  0.2494
Ac  0.7517  0.9999  0.7506
Tb  0.1365  0.6642  0.4754
Tb  0.3560  0.3361  0.6951
Tb  0.3621  0.3371  0.0251
Tb  0.3623  0.3399  0.3612
Tb  0.6377  0.6601  0.6388
Tb  0.6379  0.6629  0.9749
Tb  0.6440  0.6639  0.3049
Tb  0.8635  0.3358  0.5246
Tm  0.1362  0.6609  0.1368
Tm  0.1434  0.6633  0.8072
Tm  0.2488  0.9988  0.9172
Tm  0.2516  0.9989  0.5837
Tm  0.7484  0.0011  0.4163
Tm  0.7512  0.0012  0.0828
Tm  0.8566  0.3367  0.1928
Tm  0.8638  0.3391  0.8632

Properties
DFT formation energy   24.2 meV per atom
Space-group type   P-1

AcTbTm2: relaxed, PBE.

Cell: 12.7669 12.7669 12.7669 Å, 15.98 15.98 15.98°
Fractional positions:
Ac  0.0000  0.0000  0.0000
Tb  0.5000  0.5000  0.5000
Tm  0.0927  0.0927  0.0927
Tm  0.9073  0.9073  0.9073

Properties
DFT formation energy   201.5 meV per atom
Space-group type   R-3m
Relative energy among the computed polymorphs   0.1327 eV per atom

AcTb2Tm: relaxed, PBE.

Cell: 11.9770 11.9770 11.9770 Å, 17.65 17.65 17.65°
Fractional positions:
Ac  0.0000  0.0000  0.0000
Tb  0.2460  0.2460  0.2460
Tb  0.4216  0.4216  0.4216
Tm  0.8341  0.8341  0.8341

Properties
DFT formation energy   65.6 meV per atom
Space-group type   R3m
Relative energy among the computed polymorphs   0.0059 eV per atom

AcTbTm2: relaxed, PBE.

Cell: 4.1387 4.1387 7.9902 Å, 90.00 90.00 90.00°
Fractional positions:
Ac  0.0000  0.0000  0.0000
Tb  0.0000  0.0000  0.5000
Tm  0.5000  0.5000  0.2721
Tm  0.5000  0.5000  0.7279

Properties
DFT formation energy   98.9 meV per atom
Space-group type   P4/mmm
Relative energy among the computed polymorphs   0.0301 eV per atom

Ac2Tb5Tm: relaxed, PBE.

Cell: 8.9223 8.2144 6.2921 Å, 74.59 62.57 42.83°
Fractional positions:
Ac  0.2493  0.2493  0.7507
Ac  0.7507  0.7507  0.2493
Tb  0.1185  0.1185  0.3815
Tb  0.3815  0.3815  0.1185
Tb  0.5000  0.5000  0.5000
Tb  0.6185  0.6185  0.8815
Tb  0.8815  0.8815  0.6185
Tm  0.0000  0.0000  0.0000

Properties
DFT formation energy   52.4 meV per atom
Space-group type   Fmmm